Computed, not measured: crystalline AgRuO4 at its relaxed geometry at the PBE level of DFT.

Summary:
**Calculated volume**: 19.52 A^3/atom
**Energy relative to the elements, uncorrected**: -0.52 eV/atom

Cell and atoms, written as POSCAR:
```
AgRuO4
1.0
4.602 0.000 -2.471
2.301 4.735 -1.236
-0.061 0.000 5.407
O Ag Ru
4 1 1
direct
0.586 0.295 0.078 O
0.803 0.705 0.922 O
0.491 0.922 0.295 O
0.119 0.078 0.705 O
0.750 0.500 0.500 Ag
0.500 0.000 0.000 Ru
```